# 1
! Cs2RbZnGe2 (GGA-PBE, relaxed); values from VASP
&SYSTEM
  ibrav = 0, nat = 6, ntyp = 4
/
ATOMIC_SPECIES
Cs 132.91 Cs.upf
Rb 85.47 Rb.upf
Zn 65.41 Zn.upf
Ge 72.64 Ge.upf
CELL_PARAMETERS angstrom
5.415 0.000 0.000
-2.695 6.547 0.000
-1.021 -1.754 6.804
ATOMIC_POSITIONS angstrom
Cs 0.000 0.000 0.000
Cs -0.918 2.259 5.181
Rb 1.904 -0.117 3.364
Zn -0.354 3.231 1.822
Ge 1.807 3.853 2.834
Ge 2.865 2.592 0.881
! Space-group type: P1, No. 1
! Energy of formation: -0.017 eV/atom
! Energy above the most stable polymorph in this dataset: 11 meV per atom

---

# 2
! LaTc4Ni (GGA-PBE, relaxed); values from VASP
&SYSTEM
  ibrav = 0, nat = 6, ntyp = 3
/
ATOMIC_SPECIES
La 138.91 La.upf
Tc 98.00 Tc.upf
Ni 58.69 Ni.upf
CELL_PARAMETERS angstrom
0.000 3.750 3.750
3.750 0.000 3.750
3.750 3.750 0.000
ATOMIC_POSITIONS angstrom
La 0.000 0.000 0.000
Tc 2.821 2.821 2.821
Tc 4.680 4.680 2.821
Tc 4.680 2.821 4.680
Tc 2.821 4.680 4.680
Ni 5.625 5.625 5.625
! Space-group type: F-43m, No. 216
! Energy of formation: 0.449 eV/atom

---

# 3
! Ta2CuSiC (GGA-PBE, relaxed); values from VASP
&SYSTEM
  ibrav = 0, nat = 5, ntyp = 4
/
ATOMIC_SPECIES
Ta 180.95 Ta.upf
Cu 63.55 Cu.upf
Si 28.09 Si.upf
C 12.01 C.upf
CELL_PARAMETERS angstrom
4.311 0.000 0.000
0.000 4.311 0.000
0.000 0.000 3.781
ATOMIC_POSITIONS angstrom
Ta 0.000 2.155 0.000
Ta 2.155 0.000 0.000
Cu 0.000 0.000 1.890
Si 2.155 2.155 1.890
C 0.000 0.000 0.000
! Space-group type: P4/mmm, No. 123
! Uncorrected formation energy: 0.02 eV/atom

---

# 4
! RbPPbO2 (GGA-PBE, relaxed); values from VASP
&SYSTEM
  ibrav = 0, nat = 5, ntyp = 4
/
ATOMIC_SPECIES
Rb 85.47 Rb.upf
P 30.97 P.upf
Pb 207.20 Pb.upf
O 16.00 O.upf
CELL_PARAMETERS angstrom
4.368 0.000 0.000
0.000 4.368 0.000
0.000 0.000 5.944
ATOMIC_POSITIONS angstrom
Rb 0.000 0.000 0.000
P 0.000 0.000 2.972
Pb 2.184 2.184 2.972
O 0.000 2.184 0.000
O 2.184 0.000 0.000
! Space-group type: P4/mmm, No. 123
! Uncorrected formation energy: 0.88 eV/atom
! Energy above the most stable polymorph in this dataset: 977 meV per atom

---

# 5
! TcIr2Pt (GGA-PBE, relaxed); values from VASP
&SYSTEM
  ibrav = 0, nat = 4, ntyp = 3
/
ATOMIC_SPECIES
Tc 98.00 Tc.upf
Ir 192.22 Ir.upf
Pt 195.08 Pt.upf
CELL_PARAMETERS angstrom
3.910 0.000 0.000
0.000 3.910 0.000
0.000 0.000 3.853
ATOMIC_POSITIONS angstrom
Tc 0.000 0.000 0.000
Ir 0.000 1.955 1.927
Ir 1.955 0.000 1.927
Pt 1.955 1.955 0.000
! Space-group type: P4/mmm, No. 123
! Energy of formation: -0.030 eV/atom
! Energy above the most stable polymorph in this dataset: 111 meV per atom

---

# 6
! Tb3CeTl3 (GGA-PBE, relaxed); values from VASP
&SYSTEM
  ibrav = 0, nat = 14, ntyp = 3
/
ATOMIC_SPECIES
Tb 158.93 Tb.upf
Ce 140.12 Ce.upf
Tl 204.38 Tl.upf
CELL_PARAMETERS angstrom
9.504 0.000 0.000
-4.752 8.231 0.000
0.000 0.000 5.286
ATOMIC_POSITIONS angstrom
Tb -3.639 6.312 1.321
Tb 1.105 1.923 1.321
Tb 2.218 0.005 3.964
Tb 2.534 8.227 1.321
Tb 3.647 6.308 3.964
Tb 8.391 1.919 3.964
Ce 0.000 5.487 1.321
Ce 4.752 2.744 3.964
Tl -2.267 5.129 3.964
Tl 1.444 3.704 3.964
Tl 3.930 0.601 1.321
Tl 0.822 7.630 3.964
Tl 3.308 4.527 1.321
Tl 7.019 3.103 1.321
! Space-group type: P6_3/m, No. 176
! Energy of formation: -0.195 eV/atom

---

# 7
! ZrP2Br (GGA-PBE, relaxed); values from VASP
&SYSTEM
  ibrav = 0, nat = 8, ntyp = 3
/
ATOMIC_SPECIES
Zr 91.22 Zr.upf
P 30.97 P.upf
Br 79.90 Br.upf
CELL_PARAMETERS angstrom
9.537 0.000 0.000
0.000 3.314 0.000
-0.860 0.000 5.277
ATOMIC_POSITIONS angstrom
Zr 0.000 0.000 0.000
Zr 4.768 1.657 0.000
P 2.103 1.657 0.731
P 1.805 0.000 4.546
P 6.872 0.000 0.731
P 6.573 1.657 4.546
Br -0.430 1.657 2.638
Br 4.338 0.000 2.638
! Space-group type: C2/m, No. 12
! Uncorrected formation energy: -0.47 eV/atom
! Energy above the most stable polymorph in this dataset: 252 meV per atom

---

# 8
! Nd6Dy3Y2Mg (GGA-PBE, relaxed); values from VASP
&SYSTEM
  ibrav = 0, nat = 12, ntyp = 4
/
ATOMIC_SPECIES
Nd 144.24 Nd.upf
Dy 162.50 Dy.upf
Y 88.91 Y.upf
Mg 24.30 Mg.upf
CELL_PARAMETERS angstrom
3.123 -5.411 0.000
3.123 5.411 0.000
-2.089 0.000 11.639
ATOMIC_POSITIONS angstrom
Nd 1.031 1.796 2.901
Nd -0.008 0.000 8.725
Nd 1.031 -1.796 2.901
Nd 3.126 1.796 8.738
Nd 4.164 0.000 2.915
Nd 3.126 -1.796 8.738
Dy 2.078 3.609 5.820
Dy 2.078 0.000 5.820
Dy 2.078 -3.609 5.820
Y 3.123 1.804 0.000
Y 3.123 -1.804 0.000
Mg 0.000 0.000 0.000
! Space-group type: C2/m, No. 12
! Energy of formation: 0.019 eV/atom

---

Computed total DFT energy (no corrections) (eV/atom) in order:
-2.214 -8.247 -8.472 -3.120 -8.562 -4.041 -5.731 -4.725